! TcP3 (PBE-GGA, optimized geometry); values from VASP
! energy of formation = -0.59 eV per formula unit
! size of the total moment = 0.00 μB per formula unit
! E_tot = -6.797 eV/atom
! density of states at the Fermi level = 0.219 states/eV per atom
&SYSTEM
  ibrav = 0, nat = 4, ntyp = 2
/
ATOMIC_SPECIES
P 30.97 P.upf
Tc 98.00 Tc.upf
CELL_PARAMETERS angstrom
-1.233 4.176 1.589
-3.483 -1.070 2.866
4.435 -1.338 -0.180
ATOMIC_POSITIONS angstrom
P 2.879 -0.398 1.213
P 0.787 -0.928 1.480
P 1.164 0.732 2.834
Tc 2.467 2.187 1.086



! Li2NiMo (PBE-GGA, optimized geometry); values from VASP
! energy of formation = 1.56 eV per formula unit
! size of the total moment = 0.00 μB per formula unit
! E_tot = -4.719 eV/atom
! density of states at the Fermi level = 0.621 states/eV per atom
&SYSTEM
  ibrav = 0, nat = 4, ntyp = 3
/
ATOMIC_SPECIES
Ni 58.69 Ni.upf
Mo 95.94 Mo.upf
Li 6.94 Li.upf
CELL_PARAMETERS angstrom
4.581 0.000 0.000
0.000 3.459 0.000
0.000 0.000 3.459
ATOMIC_POSITIONS angstrom
Ni 2.290 0.000 1.730
Mo 2.290 1.730 0.000
Li 0.000 1.730 1.730
Li 0.000 0.000 0.000